No. 1
CsCdSn2 GGA-PBE relaxed; crystal system = tetragonal; ΔH_f (0 K) = 0.0 eV/f.u.; VASP energy = -2.437 eV/atom
1.0
-2.961 2.961 10.199
2.961 -2.961 10.199
2.961 2.961 -10.199
Cs Cd Sn
2 2 4
Cartesian
2.961 1.480 2.550 Cs
0.000 1.480 7.649 Cs
2.961 -1.480 7.649 Cd
0.000 4.441 2.550 Cd
0.000 0.000 0.000 Sn
1.480 1.480 -5.100 Sn
1.480 -1.480 5.100 Sn
0.000 2.961 0.000 Sn


No. 2
PmC2O6F GGA-PBE relaxed; crystal system = monoclinic; VASP energy = -7.141 eV/atom; formation energy without anion corrections = -1.6594 eV per atom
1.0
4.785 -4.595 0.000
4.785 4.595 0.000
-4.190 0.000 6.126
Pm C O F
2 4 12 2
Cartesian
1.643 3.758 4.594 Pm
3.738 -3.758 1.531 Pm
-0.820 1.228 4.954 C
1.275 -1.228 1.891 C
4.105 1.228 4.234 C
6.200 -1.228 1.172 C
-1.492 0.839 3.901 O
0.115 2.059 4.908 O
0.603 -0.839 0.839 O
-1.296 0.622 6.021 O
0.799 -0.622 2.958 O
3.171 2.059 4.280 O
2.210 -2.059 1.845 O
4.581 0.622 3.167 O
6.676 -0.622 0.105 O
4.777 0.839 5.287 O
5.266 -2.059 1.218 O
6.872 -0.839 2.224 O
3.738 0.813 1.531 F
1.643 -0.813 4.594 F


No. 3
RbBeSb2Te GGA-PBE relaxed; crystal system = tetragonal; VASP energy = -3.091 eV/atom; formation energy without anion corrections = 0.1249 eV per atom; energy above the lowest structure with this stoichiometry = 0 meV per atom
1.0
5.079 0.000 0.000
0.000 5.079 0.000
0.000 0.000 5.657
Rb Be Sb Te
1 1 2 1
Cartesian
0.000 0.000 0.000 Rb
2.539 2.539 2.829 Be
0.000 2.539 2.829 Sb
2.539 0.000 2.829 Sb
2.539 2.539 0.000 Te


No. 4
CeCd11Ag GGA-PBE relaxed; crystal system = monoclinic; ΔH_f (0 K) = -1.2 eV/f.u.; VASP energy = -1.545 eV/atom
1.0
2.938 -7.063 0.000
2.938 7.063 0.000
-2.902 0.000 7.075
Ce Cd Ag
1 11 1
Cartesian
0.000 0.000 0.000 Ce
-1.451 0.000 3.537 Cd
1.469 3.532 0.000 Cd
0.045 2.458 2.504 Cd
0.061 1.493 5.553 Cd
0.045 -2.458 2.504 Cd
2.913 1.493 1.521 Cd
1.469 -3.532 0.000 Cd
0.061 -1.493 5.553 Cd
2.929 2.458 4.571 Cd
2.913 -1.493 1.521 Cd
2.929 -2.458 4.571 Cd
1.487 0.000 3.537 Ag


No. 5
HoZn6Cu12 GGA-PBE relaxed; crystal system = trigonal; ΔH_f (0 K) = 0.8 eV/f.u.; VASP energy = -3.190 eV/atom
1.0
5.301 3.061 2.864
-5.301 3.061 2.864
0.000 -6.121 2.864
Ho Zn Cu
1 6 12
Cartesian
0.000 0.000 0.000 Ho
0.000 -2.510 3.646 Zn
-2.174 1.255 3.646 Zn
-2.174 -1.255 4.947 Zn
2.174 1.255 3.646 Zn
2.174 -1.255 4.947 Zn
0.000 2.510 4.947 Zn
-2.066 -3.578 4.296 Cu
-4.131 0.000 4.296 Cu
-1.343 -0.776 2.440 Cu
1.343 -0.776 2.440 Cu
0.000 1.551 2.440 Cu
2.066 -3.578 4.296 Cu
-2.066 3.578 4.296 Cu
0.000 -1.551 6.153 Cu
-1.343 0.776 6.153 Cu
1.343 0.776 6.153 Cu
4.131 0.000 4.296 Cu
2.066 3.578 4.296 Cu


No. 6
NdAlGePt3 GGA-PBE relaxed; crystal system = orthorhombic; ΔH_f (0 K) = -4.8 eV/f.u.; VASP energy = -6.000 eV/atom
1.0
2.849 -7.985 0.000
2.849 7.985 0.000
0.000 0.000 5.665
Nd Al Ge Pt
2 2 2 6
Cartesian
2.849 4.950 4.249 Nd
2.849 -4.950 1.416 Nd
2.849 1.512 1.416 Al
2.849 -1.512 4.249 Al
2.849 6.472 1.416 Ge
2.849 -6.472 4.249 Ge
1.432 0.000 0.000 Pt
1.432 0.000 2.832 Pt
2.849 3.978 1.416 Pt
2.849 -3.978 4.249 Pt
4.266 0.000 0.000 Pt
4.266 0.000 2.832 Pt


No. 7
HfZnCu3 GGA-PBE relaxed; crystal system = cubic; ΔH_f (0 K) = 2.6 eV/f.u.; VASP energy = -4.173 eV/atom; energy above the lowest structure with this stoichiometry = 662 meV per atom
1.0
4.371 0.000 0.000
0.000 4.371 0.000
0.000 0.000 4.371
Hf Zn Cu
1 1 3
Cartesian
0.000 0.000 0.000 Hf
2.185 2.185 2.185 Zn
0.000 2.185 2.185 Cu
2.185 0.000 2.185 Cu
2.185 2.185 0.000 Cu


No. 8
Be2FeBr GGA-PBE relaxed; crystal system = monoclinic; VASP energy = -3.970 eV/atom; formation energy without anion corrections = 0.4268 eV per atom; energy above the lowest structure with this stoichiometry = 157 meV per atom
1.0
3.340 -1.930 0.000
3.340 1.930 0.000
-2.232 0.000 5.407
Be Fe Br
2 1 1
Cartesian
-0.004 0.000 2.240 Be
4.451 0.000 3.166 Be
2.223 0.000 2.703 Fe
0.000 0.000 0.000 Br